Entry 1:
The following is a DFT calculation (PBE) of a relaxed structure of KSbRu2. Values from VASP.

Quantum ESPRESSO input file:
```
&SYSTEM
  ibrav = 0, nat = 4, ntyp = 3
/
ATOMIC_SPECIES
K 39.10 K.upf
Sb 121.76 Sb.upf
Ru 101.07 Ru.upf
CELL_PARAMETERS angstrom
3.270 0.000 0.000
0.000 3.270 0.000
0.000 0.000 8.040
ATOMIC_POSITIONS crystal
K 0.000 0.000 0.000
Sb 0.000 0.000 0.500
Ru 0.500 0.500 0.326
Ru 0.500 0.500 0.674
```

The calculation puts the density of states at the Fermi level at 1.091 states/eV per atom. As for the crystal system: tetragonal. As for the total energy: -5.3349 eV per atom. For the magnetization, the calculation gives 0.35 μB/atom. The energy relative to the elements, uncorrected comes out at 0.608 eV per atom.

Entry 2:
The following is a DFT calculation (PBE) of a relaxed structure of K2Sb2Ru. Values from VASP.

Quantum ESPRESSO input file:
```
&SYSTEM
  ibrav = 0, nat = 5, ntyp = 3
/
ATOMIC_SPECIES
K 39.10 K.upf
Sb 121.76 Sb.upf
Ru 101.07 Ru.upf
CELL_PARAMETERS angstrom
-2.099 2.099 10.574
2.099 -2.099 10.574
2.099 2.099 -10.574
ATOMIC_POSITIONS crystal
K 0.101 0.101 0.000
K 0.899 0.899 0.000
Sb 0.250 0.750 0.500
Sb 0.750 0.250 0.500
Ru 0.500 0.500 0.000
```

The calculation puts the density of states at the Fermi level at 2.181 states/eV per atom. As for the crystal system: tetragonal. As for the total energy: -3.1576 eV per atom. For the magnetization, the calculation gives 0.53 μB/atom. The energy relative to the elements, uncorrected comes out at 0.786 eV per atom.

Please write out number 1 again, unchanged.
The following is a DFT calculation (PBE) of a relaxed structure of KSbRu2. Values from VASP.

Quantum ESPRESSO input file:
```
&SYSTEM
  ibrav = 0, nat = 4, ntyp = 3
/
ATOMIC_SPECIES
K 39.10 K.upf
Sb 121.76 Sb.upf
Ru 101.07 Ru.upf
CELL_PARAMETERS angstrom
3.270 0.000 0.000
0.000 3.270 0.000
0.000 0.000 8.040
ATOMIC_POSITIONS crystal
K 0.000 0.000 0.000
Sb 0.000 0.000 0.500
Ru 0.500 0.500 0.326
Ru 0.500 0.500 0.674
```

The calculation puts the density of states at the Fermi level at 1.091 states/eV per atom. As for the crystal system: tetragonal. As for the total energy: -5.3349 eV per atom. For the magnetization, the calculation gives 0.35 μB/atom. The energy relative to the elements, uncorrected comes out at 0.608 eV per atom.